A plane-wave DFT calculation with GGA+U was carried out for LiCoNi2F6 after structural relaxation.

Computed properties:
- calculated total energy (eV per atom) = -4.374
- symmetry = No. 1
- total magnetization (μB/f.u.) = 6.000

Lattice parameters (Å, degrees): 5.100 5.159 6.041 56.99 69.25 61.94
Last column: magnetic moment on the atom in μB.
Atoms (fractional coordinates):
F (0.493, 0.661, 0.715)  0.05
F (0.881, 0.609, 0.255)  0.06
F (0.778, 0.061, 0.727)  0.04
F (0.133, 0.408, 0.738)  0.05
F (0.215, 0.938, 0.245)  0.05
F (0.560, 0.256, 0.285)  0.04
Ni (0.002, 0.005, 0.973)  1.30
Ni (0.511, 0.495, 0.476)  1.82
Li (0.819, 0.825, 0.553)  0.00
Co (0.269, 0.404, 0.048)  2.58